Zn2C | PBE-GGA | relaxed

POSCAR file:
```
Zn2C
1.0
2.4048 3.1701 -3.3116
-3.1775 -4.0541 0.5164
-3.9488 3.1088 0.1084
Zn C
4 2
direct
0.0204 0.9796 0.3602 Zn
0.9796 0.0204 0.8602 Zn
0.7609 0.2391 0.3856 Zn
0.2391 0.7609 0.8856 Zn
0.6163 0.3837 0.0876 C
0.3837 0.6163 0.5876 C
```

Properties
Its final energy is -2.99 eV/atom. As for the space group: No. 36. The total magnetic moment is 0.00 μB/f.u.

ZnC | PBE-GGA | relaxed

POSCAR file:
```
ZnC
1.0
-3.4618 2.8069 1.0016
-0.1981 -1.3003 2.9592
4.0413 2.3517 1.3040
Zn C
2 2
direct
0.8280 0.0000 0.4721 Zn
0.2821 0.5000 0.6703 Zn
0.6093 0.0000 0.7870 C
0.6546 0.0000 0.0557 C
```

Properties
Its final energy is -4.42 eV/atom. As for the space group: No. 6. The total magnetic moment is 0.00 μB/f.u.

no.,distance to the lowest polymorph of the same formula (meV/atom),ΔH_f (0 K) (eV per atom)
1,305,0.93
2,744,0.83